First-principles (PBE) data for a relaxed BaTlPt3 crystal, as listed in the Alexandria database.

The space group is Pm-3m (No. 221) and the conventional cell measures 5.4714, 5.4714 and 5.4714 Å, with angles of 90.00, 90.00 and 90.00 degrees. The inequivalent atoms are Ba at (0.0000, 0.0000, 0.0000), Tl at (0.5000, 0.5000, 0.5000) and Pt at (0.0000, 0.0000, 0.5000).

For the energy, the calculation gives -16.0 eV for the cell shown. As for the theoretical density: 9.40 g cm⁻³. For the density of states at the Fermi level, the calculation gives 9.6 states/eV/f.u.